No. 1
# Mg3In2Ag6 | Alexandria | GGA-PBE | relaxed
# Formation enthalpy at 0 K, eV per atom: -0.0980
data_Mg3In2Ag6
_cell_length_a 4.959
_cell_length_b 4.983
_cell_length_c 10.081
_cell_angle_alpha 114.64
_cell_angle_beta 77.38
_cell_angle_gamma 105.02
_symmetry_space_group_name_H-M 'P 1'
_symmetry_Int_Tables_number 1
_symmetry_space_group_name_Hall 'P 1'
loop_
_atom_site_label
_atom_site_type_symbol
_atom_site_fract_x
_atom_site_fract_y
_atom_site_fract_z
_atom_site_occupancy
Mg1 Mg 0.793 0.127 0.340 1
Ag1 Ag 0.592 0.050 0.864 1
Mg2 Mg 0.000 0.000 0.000 1
Ag2 Ag 0.746 0.751 0.501 1
In1 In 0.723 0.409 0.692 1
Ag3 Ag 0.193 0.457 0.867 1
Ag4 Ag 0.408 0.950 0.136 1
Mg3 Mg 0.207 0.873 0.660 1
In2 In 0.277 0.591 0.308 1
Ag5 Ag 0.254 0.249 0.499 1
Ag6 Ag 0.807 0.543 0.133 1

No. 2
# Er2ThIr9 | Alexandria | GGA-PBE | relaxed
# Formation enthalpy at 0 K, eV per atom: -0.6490
data_Er2ThIr9
_cell_length_a 5.322
_cell_length_b 5.322
_cell_length_c 9.295
_cell_angle_alpha 73.37
_cell_angle_beta 73.37
_cell_angle_gamma 60.00
_symmetry_space_group_name_H-M 'P 1'
_symmetry_Int_Tables_number 1
_symmetry_space_group_name_Hall 'P 1'
loop_
_atom_site_label
_atom_site_type_symbol
_atom_site_fract_x
_atom_site_fract_y
_atom_site_fract_z
_atom_site_occupancy
Er1 Er 0.859 0.859 0.422 1
Ir1 Ir 0.583 0.083 0.751 1
Ir2 Ir 0.083 0.583 0.751 1
Ir3 Ir 0.667 0.667 0.000 1
Ir4 Ir 0.417 0.417 0.249 1
Ir5 Ir 0.333 0.333 0.000 1
Ir6 Ir 0.583 0.583 0.751 1
Ir7 Ir 0.917 0.417 0.249 1
Ir8 Ir 0.500 0.500 0.500 1
Ir9 Ir 0.417 0.917 0.249 1
Th1 Th 0.000 0.000 0.000 1
Er2 Er 0.141 0.141 0.578 1

No. 3
# TlAgBr6 | Alexandria | GGA-PBE | relaxed
# E above lowest polymorph, eV/atom: 0.000
data_TlAgBr6
_cell_length_a 6.154
_cell_length_b 6.154
_cell_length_c 7.785
_cell_angle_alpha 93.39
_cell_angle_beta 93.39
_cell_angle_gamma 90.92
_symmetry_space_group_name_H-M 'P 1'
_symmetry_Int_Tables_number 1
_symmetry_space_group_name_Hall 'P 1'
loop_
_atom_site_label
_atom_site_type_symbol
_atom_site_fract_x
_atom_site_fract_y
_atom_site_fract_z
_atom_site_occupancy
Br1 Br 0.295 0.295 0.437 1
Br2 Br 0.720 0.132 0.203 1
Tl1 Tl 0.000 0.000 0.500 1
Br3 Br 0.280 0.868 0.797 1
Br4 Br 0.132 0.720 0.203 1
Br5 Br 0.705 0.705 0.563 1
Br6 Br 0.868 0.280 0.797 1
Ag1 Ag 0.000 0.000 0.000 1

No. 4
# CaNb2Rh | Alexandria | GGA-PBE | relaxed
# E above lowest polymorph, eV/atom: 0.098
# Formation enthalpy at 0 K, eV per atom: 0.5264
data_CaNb2Rh
_cell_length_a 3.893
_cell_length_b 3.893
_cell_length_c 11.002
_cell_angle_alpha 79.81
_cell_angle_beta 79.81
_cell_angle_gamma 90.00
_symmetry_space_group_name_H-M 'P 1'
_symmetry_Int_Tables_number 1
_symmetry_space_group_name_Hall 'P 1'
loop_
_atom_site_label
_atom_site_type_symbol
_atom_site_fract_x
_atom_site_fract_y
_atom_site_fract_z
_atom_site_occupancy
Rh1 Rh 0.000 0.000 0.000 1
Nb1 Nb 0.641 0.125 0.250 1
Nb2 Nb 0.109 0.625 0.250 1
Ca1 Ca 0.500 0.500 0.000 1
Nb3 Nb 0.875 0.891 0.750 1
Rh2 Rh 0.750 0.250 0.500 1
Nb4 Nb 0.375 0.359 0.750 1
Ca2 Ca 0.250 0.750 0.500 1

No. 5
# K2CoAu | Alexandria | GGA-PBE | relaxed
# E above lowest polymorph, eV/atom: 0.309
# Formation enthalpy at 0 K, eV per atom: 0.5744
data_K2CoAu
_cell_length_a 3.984
_cell_length_b 3.984
_cell_length_c 8.104
_cell_angle_alpha 90.00
_cell_angle_beta 90.00
_cell_angle_gamma 89.97
_symmetry_space_group_name_H-M 'P 1'
_symmetry_Int_Tables_number 1
_symmetry_space_group_name_Hall 'P 1'
loop_
_atom_site_label
_atom_site_type_symbol
_atom_site_fract_x
_atom_site_fract_y
_atom_site_fract_z
_atom_site_occupancy
K1 K 0.000 0.000 0.488 1
Co1 Co 0.500 0.500 0.750 1
K2 K 0.000 0.000 0.012 1
Au1 Au 0.500 0.500 0.250 1

No. 6
# Pu2NbOs | Alexandria | GGA-PBE | relaxed
# Formation enthalpy at 0 K, eV per atom: 0.5236
data_Pu2NbOs
_cell_length_a 2.885
_cell_length_b 2.885
_cell_length_c 10.952
_cell_angle_alpha 82.43
_cell_angle_beta 82.43
_cell_angle_gamma 60.00
_symmetry_space_group_name_H-M 'P 1'
_symmetry_Int_Tables_number 1
_symmetry_space_group_name_Hall 'P 1'
loop_
_atom_site_label
_atom_site_type_symbol
_atom_site_fract_x
_atom_site_fract_y
_atom_site_fract_z
_atom_site_occupancy
Os1 Os 0.500 0.500 0.500 1
Pu1 Pu 0.091 0.091 0.726 1
Nb1 Nb 0.000 0.000 0.000 1
Pu2 Pu 0.909 0.909 0.274 1

No. 7
# ReSb3N | Alexandria | GGA-PBE | relaxed
# E above lowest polymorph, eV/atom: 0.515
data_ReSb3N
_cell_length_a 5.090
_cell_length_b 5.090
_cell_length_c 5.090
_cell_angle_alpha 90.00
_cell_angle_beta 90.00
_cell_angle_gamma 90.00
_symmetry_space_group_name_H-M 'P 1'
_symmetry_Int_Tables_number 1
_symmetry_space_group_name_Hall 'P 1'
loop_
_atom_site_label
_atom_site_type_symbol
_atom_site_fract_x
_atom_site_fract_y
_atom_site_fract_z
_atom_site_occupancy
Sb1 Sb 0.000 0.500 0.000 1
N1 N 0.500 0.500 0.500 1
Sb2 Sb 0.000 0.000 0.500 1
Re1 Re 0.000 0.000 0.000 1
Sb3 Sb 0.500 0.000 0.000 1

No. 8
# CaP2Br | Alexandria | GGA-PBE | relaxed
# E above lowest polymorph, eV/atom: 0.625
data_CaP2Br
_cell_length_a 5.020
_cell_length_b 5.020
_cell_length_c 5.026
_cell_angle_alpha 74.09
_cell_angle_beta 74.09
_cell_angle_gamma 116.75
_symmetry_space_group_name_H-M 'P 1'
_symmetry_Int_Tables_number 1
_symmetry_space_group_name_Hall 'P 1'
loop_
_atom_site_label
_atom_site_type_symbol
_atom_site_fract_x
_atom_site_fract_y
_atom_site_fract_z
_atom_site_occupancy
Ca1 Ca 0.000 0.500 0.500 1
P1 P 0.500 0.500 0.000 1
P2 P 0.000 0.000 0.000 1
Br1 Br 0.500 0.000 0.500 1

No. 9
# SnBiN3 | Alexandria | GGA-PBE | relaxed
# VASP energy, eV/atom: -4.83
data_SnBiN3
_cell_length_a 4.343
_cell_length_b 4.343
_cell_length_c 4.343
_cell_angle_alpha 90.00
_cell_angle_beta 90.00
_cell_angle_gamma 90.00
_symmetry_space_group_name_H-M 'P 1'
_symmetry_Int_Tables_number 1
_symmetry_space_group_name_Hall 'P 1'
loop_
_atom_site_label
_atom_site_type_symbol
_atom_site_fract_x
_atom_site_fract_y
_atom_site_fract_z
_atom_site_occupancy
N1 N 0.000 0.500 0.000 1
Sn1 Sn 0.500 0.500 0.500 1
N2 N 0.000 0.000 0.500 1
Bi1 Bi 0.000 0.000 0.000 1
N3 N 0.500 0.000 0.000 1

No. 10
# BeCdAu2 | Alexandria | GGA-PBE | relaxed
# E above lowest polymorph, eV/atom: 0.093
# Formation enthalpy at 0 K, eV per atom: -0.0628
data_BeCdAu2
_cell_length_a 8.689
_cell_length_b 8.689
_cell_length_c 8.689
_cell_angle_alpha 20.01
_cell_angle_beta 20.01
_cell_angle_gamma 20.01
_symmetry_space_group_name_H-M 'P 1'
_symmetry_Int_Tables_number 1
_symmetry_space_group_name_Hall 'P 1'
loop_
_atom_site_label
_atom_site_type_symbol
_atom_site_fract_x
_atom_site_fract_y
_atom_site_fract_z
_atom_site_occupancy
Cd1 Cd 0.750 0.750 0.750 1
Au1 Au 0.983 0.983 0.983 1
Be1 Be 0.250 0.250 0.250 1
Au2 Au 0.517 0.517 0.517 1